Record 1
VASP calculation (PBE) on ZnPb3I after structural relaxation. Values from VASP.

Results
Distance to the lowest polymorph of the same formula   0.0 kJ per mole of atoms
Space group   Pm-3m
DOS at the Fermi energy   0.8490 states/eV/atom
Total magnetization   0.0 Bohr magnetons per cell
E_form (uncorrected)   0.245 eV/atom

Geometry as Quantum ESPRESSO input:
```
&SYSTEM
  ibrav = 0, nat = 5, ntyp = 3
/
ATOMIC_SPECIES
Zn 65.41 Zn.upf
Pb 207.20 Pb.upf
I 126.90 I.upf
CELL_PARAMETERS angstrom
5.557 0.000 0.000
0.000 5.557 0.000
0.000 0.000 5.557
ATOMIC_POSITIONS crystal
Zn 0.000 0.000 0.000
Pb 0.000 0.000 0.500
Pb 0.000 0.500 0.000
Pb 0.500 0.000 0.000
I 0.500 0.500 0.500
```


Record 2
VASP calculation (PBE) on AgPt2Au after structural relaxation. Values from VASP.

Results
Distance to the lowest polymorph of the same formula   9.7 kJ per mole of atoms
Space group   Pmmm
DOS at the Fermi energy   1.0503 states/eV/atom
Total magnetization   0.0 Bohr magnetons per cell

Geometry as Quantum ESPRESSO input:
```
&SYSTEM
  ibrav = 0, nat = 4, ntyp = 3
/
ATOMIC_SPECIES
Ag 107.87 Ag.upf
Pt 195.08 Pt.upf
Au 196.97 Au.upf
CELL_PARAMETERS angstrom
2.797 0.000 0.000
0.000 4.225 0.000
0.000 0.000 5.646
ATOMIC_POSITIONS crystal
Ag 0.000 0.000 0.000
Pt 0.500 0.500 0.249
Pt 0.500 0.500 0.751
Au 0.000 0.000 0.500
```


Record 3
VASP calculation (PBE) on MgPaTa after structural relaxation. Values from VASP.

Results
Space group   P4/nmm
DOS at the Fermi energy   1.4095 states/eV/atom
Total magnetization   0.0 Bohr magnetons per cell

Geometry as Quantum ESPRESSO input:
```
&SYSTEM
  ibrav = 0, nat = 6, ntyp = 3
/
ATOMIC_SPECIES
Mg 24.30 Mg.upf
Pa 231.04 Pa.upf
Ta 180.95 Ta.upf
CELL_PARAMETERS angstrom
3.504 0.000 0.000
0.000 3.504 0.000
0.000 0.000 10.510
ATOMIC_POSITIONS crystal
Mg 0.250 0.250 0.090
Mg 0.750 0.750 0.910
Pa 0.250 0.250 0.414
Pa 0.750 0.750 0.586
Ta 0.250 0.250 0.745
Ta 0.750 0.750 0.255
```


Record 4
VASP calculation (PBE) on LiAs2HSe after structural relaxation. Values from VASP.

Results
Distance to the lowest polymorph of the same formula   0.0 kJ per mole of atoms
Space group   P4/mmm
DOS at the Fermi energy   0.3718 states/eV/atom
Total magnetization   0.0 Bohr magnetons per cell

Geometry as Quantum ESPRESSO input:
```
&SYSTEM
  ibrav = 0, nat = 5, ntyp = 4
/
ATOMIC_SPECIES
Li 6.94 Li.upf
As 74.92 As.upf
H 1.01 H.upf
Se 78.96 Se.upf
CELL_PARAMETERS angstrom
3.955 0.000 0.000
0.000 3.955 0.000
0.000 0.000 5.300
ATOMIC_POSITIONS crystal
Li 0.000 0.000 0.000
As 0.000 0.500 0.500
As 0.500 0.000 0.500
H 0.500 0.500 0.500
Se 0.500 0.500 0.000
```


Record 5
VASP calculation (PBE) on RbZnAsO4 after structural relaxation. Values from VASP.

Results
Space group   P2_1/m
DOS at the Fermi energy   0.0000 states/eV/atom
Total magnetization   0.0 Bohr magnetons per cell
E_form (uncorrected)   -1.478 eV/atom

Geometry as Quantum ESPRESSO input:
```
&SYSTEM
  ibrav = 0, nat = 14, ntyp = 4
/
ATOMIC_SPECIES
Rb 85.47 Rb.upf
Zn 65.41 Zn.upf
As 74.92 As.upf
O 16.00 O.upf
CELL_PARAMETERS angstrom
5.212 0.000 0.000
0.000 5.805 0.000
-1.862 0.000 7.648
ATOMIC_POSITIONS crystal
Rb 0.200 0.250 0.119
Rb 0.800 0.750 0.881
Zn 0.160 0.750 0.509
Zn 0.840 0.250 0.491
As 0.364 0.250 0.690
As 0.636 0.750 0.310
O 0.135 0.024 0.674
O 0.135 0.476 0.674
O 0.394 0.750 0.125
O 0.470 0.250 0.498
O 0.530 0.750 0.502
O 0.606 0.250 0.875
O 0.865 0.524 0.326
O 0.865 0.976 0.326
```


Record 6
VASP calculation (PBE) on CrRe2Si after structural relaxation. Values from VASP.

Results
Space group   Pmmm
DOS at the Fermi energy   0.6579 states/eV/atom
Total magnetization   0.0 Bohr magnetons per cell
E_form (uncorrected)   0.020 eV/atom

Geometry as Quantum ESPRESSO input:
```
&SYSTEM
  ibrav = 0, nat = 4, ntyp = 3
/
ATOMIC_SPECIES
Cr 52.00 Cr.upf
Re 186.21 Re.upf
Si 28.09 Si.upf
CELL_PARAMETERS angstrom
2.988 0.000 0.000
0.000 4.041 0.000
0.000 0.000 4.500
ATOMIC_POSITIONS crystal
Cr 0.000 0.000 0.000
Re 0.000 0.500 0.500
Re 0.500 0.500 0.000
Si 0.500 0.000 0.500
```


The records above yield total DFT energy (no corrections) values of -12.724; -17.942; -44.176; -17.021; -74.145; -39.863 eV for the cell shown, respectively.